[1]
Density functional theory data (PBE) for a relaxed BaCdCuGe2 crystal.

Calculated values
- ΔE_f: -302 meV/atom
- DFT total energy: -3.536 eV per atom

The structure in POSCAR format:
```
BaCdCuGe2
1.0
-2.909 3.093 -1.712
-3.319 -3.153 -0.056
1.644 1.487 6.014
Ba Cu Cd Ge
1 1 1 2
Direct
0.000 0.000 0.000 Ba
0.250 0.750 0.500 Cu
0.750 0.250 0.500 Cd
0.619 0.619 0.238 Ge
0.381 0.381 0.762 Ge
```

[2]
Density functional theory data (PBE) for a relaxed ErURh2 crystal.

Calculated values
- ΔE_f: -626 meV/atom
- DFT total energy: -8.264 eV per atom

The structure in POSCAR format:
```
ErURh2
1.0
-1.484 0.881 2.894
-1.502 -3.013 0.146
5.440 -2.539 3.562
U Rh Er
1 2 1
Direct
0.500 0.500 0.000 U
0.000 0.000 0.762 Rh
0.000 0.000 0.238 Rh
0.500 0.500 0.500 Er
```

[3]
Density functional theory data (PBE) for a relaxed PrEr2Ga crystal.

Calculated values
- ΔE_f: -40 meV/atom
- DFT total energy: -4.273 eV per atom
- Offset from the most stable computed form: 0.997 eV/f.u.

The structure in POSCAR format:
```
PrEr2Ga
1.0
-0.267 -3.292 -1.146
1.715 -2.567 1.641
-8.376 -3.574 6.885
Er Ga Pr
2 1 1
Direct
0.103 0.103 0.691 Er
0.897 0.897 0.309 Er
0.500 0.500 0.500 Ga
0.000 0.000 0.000 Pr
```

[4]
Density functional theory data (PBE) for a relaxed KPmGeO3 crystal.

Calculated values
- Uncorrected formation energy: -2136 meV per atom
- DFT total energy: -6.359 eV per atom

The structure in POSCAR format:
```
KPmGeO3
1.0
3.466 0.000 0.000
0.000 6.688 0.480
0.000 -2.738 10.094
O K Pm Ge
6 2 2 2
Direct
0.250 0.634 0.357 O
0.750 0.419 0.097 O
0.250 0.120 0.764 O
0.750 0.366 0.643 O
0.750 0.880 0.236 O
0.250 0.581 0.903 O
0.750 0.775 0.731 K
0.250 0.225 0.269 K
0.250 0.654 0.130 Pm
0.750 0.346 0.870 Pm
0.750 0.797 0.401 Ge
0.250 0.203 0.599 Ge
```

Among the records above, which one has the lowest DFT total energy?
ErURh2

Among the records above, which one has the lowest DFT total energy?
ErURh2

What is the DFT total energy in the second record?
-8.264 eV per atom

Repeat the first record exactly.
Density functional theory data (PBE) for a relaxed BaCdCuGe2 crystal.

Calculated values
- ΔE_f: -302 meV/atom
- DFT total energy: -3.536 eV per atom

The structure in POSCAR format:
```
BaCdCuGe2
1.0
-2.909 3.093 -1.712
-3.319 -3.153 -0.056
1.644 1.487 6.014
Ba Cu Cd Ge
1 1 1 2
Direct
0.000 0.000 0.000 Ba
0.250 0.750 0.500 Cu
0.750 0.250 0.500 Cd
0.619 0.619 0.238 Ge
0.381 0.381 0.762 Ge
```